A plane-wave DFT calculation with PBE was carried out for a relaxed structure of Ca2HoAu.

Calculated values
Uncorrected energy in eV per atom: -3.265
V in Å³/atom: 30.120
Crystal system: tetragonal
Spin magnetization in μB/atom: 0.039
Relative energy among the computed polymorphs in meV/atom: 0.0
Calculated formation energy in eV per atom: -0.301

Unit cell a=3.563 b=3.563 c=9.490 alpha=90.00 beta=90.00 gamma=90.00
Atoms (fractional coordinates):
Ca: 0.000 0.000 0.194
Ca: 0.000 0.000 0.806
Ho: 0.500 0.500 0.500
Au: 0.500 0.500 0.000

=====

A plane-wave DFT calculation with PBE was carried out for a relaxed structure of Ca2HoAu3.

Calculated values
Uncorrected energy in eV per atom: -3.889
V in Å³/atom: 23.686
Crystal system: orthorhombic
Spin magnetization in μB/atom: 0.000
Calculated formation energy in eV per atom: -0.820

Unit cell a=8.148 b=8.148 c=3.608 alpha=90.00 beta=90.00 gamma=143.61
Atoms (fractional coordinates):
Ca: 0.169 0.831 0.000
Ca: 0.831 0.169 0.000
Ho: 0.500 0.500 0.000
Au: 0.000 0.000 0.500
Au: 0.345 0.655 0.500
Au: 0.655 0.345 0.500

=====

A plane-wave DFT calculation with PBE was carried out for a relaxed structure of Ca4HoAu5.

Calculated values
Uncorrected energy in eV per atom: -3.705
V in Å³/atom: 23.903
Crystal system: tetragonal
Spin magnetization in μB/atom: 0.000
Calculated formation energy in eV per atom: -0.808

Unit cell a=3.640 b=3.640 c=18.043 alpha=90.00 beta=90.00 gamma=90.00
Atoms (fractional coordinates):
Ca: 0.000 0.000 0.100
Ca: 0.000 0.000 0.301
Ca: 0.000 0.000 0.699
Ca: 0.000 0.000 0.900
Ho: 0.000 0.000 0.500
Au: 0.500 0.500 0.000
Au: 0.500 0.500 0.200
Au: 0.500 0.500 0.410
Au: 0.500 0.500 0.590
Au: 0.500 0.500 0.800

=====

A plane-wave DFT calculation with PBE was carried out for a relaxed structure of Ca5HoAu6.

Calculated values
Uncorrected energy in eV per atom: -3.656
V in Å³/atom: 23.885
Crystal system: orthorhombic
Spin magnetization in μB/atom: 0.000
Calculated formation energy in eV per atom: -0.802

Unit cell a=8.115 b=8.115 c=7.274 alpha=90.00 beta=90.00 gamma=143.25
Atoms (fractional coordinates):
Ca: 0.000 0.000 0.000
Ca: 0.331 0.669 0.500
Ca: 0.334 0.666 0.000
Ca: 0.666 0.334 0.000
Ca: 0.669 0.331 0.500
Ho: 0.000 0.000 0.500
Au: 0.160 0.840 0.255
Au: 0.160 0.840 0.745
Au: 0.500 0.500 0.268
Au: 0.500 0.500 0.732
Au: 0.840 0.160 0.255
Au: 0.840 0.160 0.745